# GdThGaCo, relaxed, DFT GGA-PBE
data_GdThGaCo
_cell_length_a 5.0412
_cell_length_b 5.0412
_cell_length_c 5.0412
_cell_angle_alpha 60.00
_cell_angle_beta 60.00
_cell_angle_gamma 60.00
_space_group_name_H-M_alt 'P 1'
_space_group_IT_number 1
loop_
_space_group_symop_operation_xyz
'x,y,z'
loop_
_atom_site_label
_atom_site_type_symbol
_atom_site_fract_x
_atom_site_fract_y
_atom_site_fract_z
Th1 Th 0.5000 0.5000 0.5000
Co1 Co 0.7500 0.7500 0.7500
Ga1 Ga 0.2500 0.2500 0.2500
Gd1 Gd 0.0000 0.0000 0.0000
# spin magnetization = 6.324 μB per formula unit
# space group = F-43m (216)
# formation energy from the elements = -228 meV/atom
# VASP energy = -32.54 eV for the cell shown

***

# CaRe3Bi, relaxed, DFT GGA-PBE
data_CaRe3Bi
_cell_length_a 5.0536
_cell_length_b 5.0536
_cell_length_c 5.0536
_cell_angle_alpha 90.00
_cell_angle_beta 90.00
_cell_angle_gamma 90.00
_space_group_name_H-M_alt 'P 1'
_space_group_IT_number 1
loop_
_space_group_symop_operation_xyz
'x,y,z'
loop_
_atom_site_label
_atom_site_type_symbol
_atom_site_fract_x
_atom_site_fract_y
_atom_site_fract_z
Re1 Re 0.5000 0.0000 0.0000
Re2 Re 0.0000 0.0000 0.5000
Re3 Re 0.0000 0.5000 0.0000
Bi1 Bi 0.0000 0.0000 0.0000
Ca1 Ca 0.5000 0.5000 0.5000
# spin magnetization = 2.912 μB per formula unit
# space group = Pm-3m (221)
# formation energy from the elements = 2506 meV/atom
# VASP energy = -30.69 eV for the cell shown
# polymorph energy (0 for the lowest one) = 0.0 kJ/mol of atoms

***

# Rb3LiLa, relaxed, DFT GGA-PBE
data_Rb3LiLa
_cell_length_a 7.3881
_cell_length_b 7.3881
_cell_length_c 7.3881
_cell_angle_alpha 90.00
_cell_angle_beta 90.00
_cell_angle_gamma 90.00
_space_group_name_H-M_alt 'P 1'
_space_group_IT_number 1
loop_
_space_group_symop_operation_xyz
'x,y,z'
loop_
_atom_site_label
_atom_site_type_symbol
_atom_site_fract_x
_atom_site_fract_y
_atom_site_fract_z
Rb1 Rb 0.5000 0.0000 0.0000
Rb2 Rb 0.0000 0.0000 0.5000
Rb3 Rb 0.0000 0.5000 0.0000
Li1 Li 0.5000 0.5000 0.5000
La1 La 0.0000 0.0000 0.0000
# spin magnetization = 3.691 μB per formula unit
# space group = Pm-3m (221)
# formation energy from the elements = 875 meV/atom
# VASP energy = -5.37 eV for the cell shown

***

# Pm5Dy2YTh, relaxed, DFT GGA-PBE
data_Pm5Dy2YTh
_cell_length_a 5.8033
_cell_length_b 11.2736
_cell_length_c 9.8559
_cell_angle_alpha 90.00
_cell_angle_beta 90.00
_cell_angle_gamma 104.91
_space_group_name_H-M_alt 'P 1'
_space_group_IT_number 1
loop_
_space_group_symop_operation_xyz
'x,y,z'
loop_
_atom_site_label
_atom_site_type_symbol
_atom_site_fract_x
_atom_site_fract_y
_atom_site_fract_z
Pm1 Pm 0.2741 0.5481 0.3174
Pm2 Pm 0.6001 0.2002 0.5431
Pm3 Pm 0.7259 0.4519 0.8174
Pm4 Pm 0.9846 0.9691 0.5165
Pm5 Pm 0.5324 0.0649 0.2437
Pm6 Pm 0.3999 0.7998 0.0431
Pm7 Pm 0.4676 0.9351 0.7437
Pm8 Pm 0.6982 0.3963 0.2148
Pm9 Pm 0.3018 0.6037 0.7148
Pm10 Pm 0.0154 0.0309 0.0165
Dy1 Dy 0.8823 0.7646 0.8344
Dy2 Dy 0.8747 0.7493 0.2143
Dy3 Dy 0.1253 0.2507 0.7143
Dy4 Dy 0.1177 0.2354 0.3344
Y1 Y 0.1876 0.3753 0.0162
Y2 Y 0.8124 0.6247 0.5162
Th1 Th 0.5943 0.1886 0.9237
Th2 Th 0.4057 0.8114 0.4237
# spin magnetization = 0.000 μB per formula unit
# space group = Cmc2_1 (36)
# formation energy from the elements = 152 meV/atom
# VASP energy = -90.95 eV for the cell shown

***

# Sm8Dy5Ho, relaxed, DFT GGA-PBE
data_Sm8Dy5Ho
_cell_length_a 8.5061
_cell_length_b 8.5252
_cell_length_c 8.5061
_cell_angle_alpha 111.00
_cell_angle_beta 106.24
_cell_angle_gamma 111.12
_space_group_name_H-M_alt 'P 1'
_space_group_IT_number 1
loop_
_space_group_symop_operation_xyz
'x,y,z'
loop_
_atom_site_label
_atom_site_type_symbol
_atom_site_fract_x
_atom_site_fract_y
_atom_site_fract_z
Dy1 Dy 0.2807 0.0988 0.9658
Dy2 Dy 0.0342 0.3155 0.1324
Dy3 Dy 0.5002 0.0000 0.5002
Dy4 Dy 0.8670 0.9012 0.1819
Dy5 Dy 0.8170 0.6845 0.7187
Sm1 Sm 0.9242 0.0890 0.6581
Sm2 Sm 0.5692 0.9110 0.8352
Sm3 Sm 0.7303 0.2567 0.3350
Sm4 Sm 0.5262 0.6049 0.2702
Sm5 Sm 0.3406 0.2643 0.4308
Sm6 Sm 0.6653 0.3951 0.9213
Sm7 Sm 0.0783 0.7433 0.4736
Sm8 Sm 0.1665 0.7357 0.0763
Ho1 Ho 0.2504 0.5000 0.7504
# spin magnetization = 0.000 μB per formula unit
# space group = C2 (5)
# formation energy from the elements = 255 meV/atom
# VASP energy = -61.78 eV for the cell shown

***

# LiGaO2F, relaxed, DFT GGA-PBE
data_LiGaO2F
_cell_length_a 3.7814
_cell_length_b 3.7814
_cell_length_c 4.0825
_cell_angle_alpha 90.00
_cell_angle_beta 90.00
_cell_angle_gamma 90.00
_space_group_name_H-M_alt 'P 1'
_space_group_IT_number 1
loop_
_space_group_symop_operation_xyz
'x,y,z'
loop_
_atom_site_label
_atom_site_type_symbol
_atom_site_fract_x
_atom_site_fract_y
_atom_site_fract_z
Ga1 Ga 0.0000 0.0000 0.0000
Li1 Li 0.5000 0.5000 0.5000
O1 O 0.0000 0.5000 0.0000
O2 O 0.5000 0.0000 0.0000
F1 F 0.0000 0.0000 0.5000
# spin magnetization = 0.999 μB per formula unit
# space group = P4/mmm (123)
# VASP energy = -24.67 eV for the cell shown
# raw formation energy = -1.588 eV per atom

***

Question: VASP energy of number 1 (GdThGaCo)?
Answer: -32.54 eV for the cell shown

***

Question: The lowest VASP energy belongs to which entry?
Answer: Pm5Dy2YTh

***

Question: Number 3 is which compound?
Answer: Rb3LiLa

***

Question: The highest spin magnetization belongs to which entry?
Answer: GdThGaCo